[1]
Density functional theory data (PBE) for a relaxed HgRu4Cl crystal.

a = 5.271 Å, b = 5.271 Å, c = 5.271 Å
α = 60.00°, β = 60.00°, γ = 60.00°
Sites, in units of the cell vectors:
Hg 0.000 0.000 0.000
Ru 0.128 0.624 0.624
Ru 0.624 0.128 0.624
Ru 0.624 0.624 0.128
Ru 0.624 0.624 0.624
Cl 0.250 0.250 0.250

Output
Its density is 10.27 g/cm³. The calculation puts the density of states at the Fermi level at 6.191 states/eV/cell. The total DFT energy (no corrections) comes out at -5.51 eV per atom. Its uncorrected formation energy is 1.027 eV per atom.

=====

[2]
Density functional theory data (PBE) for a relaxed HgRuCl2 crystal.

a = 10.522 Å, b = 10.522 Å, c = 10.522 Å
α = 19.70°, β = 19.70°, γ = 19.70°
Sites, in units of the cell vectors:
Hg 0.000 0.000 0.000
Ru 0.500 0.500 0.500
Cl 0.127 0.127 0.127
Cl 0.873 0.873 0.873

Output
Its density is 5.34 g/cm³. The energy above the lowest structure with this stoichiometry comes out at 0.0000 eV/atom. The calculation puts the density of states at the Fermi level at 0.000 states/eV/cell. The total DFT energy (no corrections) comes out at -3.50 eV per atom. Its uncorrected formation energy is -0.179 eV per atom.

=====

[3]
Density functional theory data (PBE) for a relaxed HgRuCl2 crystal.

a = 3.179 Å, b = 3.179 Å, c = 9.531 Å
α = 90.00°, β = 90.00°, γ = 90.00°
Sites, in units of the cell vectors:
Hg 0.000 0.000 0.000
Ru 0.000 0.000 0.500
Cl 0.500 0.500 0.333
Cl 0.500 0.500 0.667

Output
Its density is 6.42 g/cm³. The energy above the lowest structure with this stoichiometry comes out at 0.3520 eV/atom. The calculation puts the density of states at the Fermi level at 3.126 states/eV/cell. The total DFT energy (no corrections) comes out at -3.14 eV per atom. Its uncorrected formation energy is 0.173 eV per atom.

=====

[4]
Density functional theory data (PBE) for a relaxed HgRuCl3 crystal.

a = 6.651 Å, b = 7.642 Å, c = 12.041 Å
α = 90.00°, β = 92.64°, γ = 90.00°
Sites, in units of the cell vectors:
Hg 0.072 0.000 0.376
Hg 0.072 0.000 0.876
Hg 0.928 0.000 0.124
Hg 0.928 0.000 0.624
Ru 0.051 0.343 0.106
Ru 0.051 0.657 0.606
Ru 0.949 0.343 0.394
Ru 0.949 0.657 0.894
Cl 0.137 0.360 0.566
Cl 0.137 0.640 0.066
Cl 0.229 0.373 0.281
Cl 0.229 0.627 0.781
Cl 0.319 0.232 0.009
Cl 0.319 0.768 0.509
Cl 0.681 0.232 0.491
Cl 0.681 0.768 0.991
Cl 0.771 0.373 0.219
Cl 0.771 0.627 0.719
Cl 0.863 0.360 0.934
Cl 0.863 0.640 0.434

Output
Its density is 4.43 g/cm³. The energy above the lowest structure with this stoichiometry comes out at 0.0000 eV/atom. The calculation puts the density of states at the Fermi level at 8.866 states/eV/cell. The total DFT energy (no corrections) comes out at -3.33 eV per atom. Its uncorrected formation energy is -0.311 eV per atom.

=====

Copy entry 2 word for word.
Density functional theory data (PBE) for a relaxed HgRuCl2 crystal.

a = 10.522 Å, b = 10.522 Å, c = 10.522 Å
α = 19.70°, β = 19.70°, γ = 19.70°
Sites, in units of the cell vectors:
Hg 0.000 0.000 0.000
Ru 0.500 0.500 0.500
Cl 0.127 0.127 0.127
Cl 0.873 0.873 0.873

Output
Its density is 5.34 g/cm³. The energy above the lowest structure with this stoichiometry comes out at 0.0000 eV/atom. The calculation puts the density of states at the Fermi level at 0.000 states/eV/cell. The total DFT energy (no corrections) comes out at -3.50 eV per atom. Its uncorrected formation energy is -0.179 eV per atom.